A plane-wave DFT calculation with PBE with a Hubbard U was carried out for a relaxed HfInWO2 crystal.

abc: 3.982 3.982 5.971
angles: 90.00 90.00 90.00
Sites, in units of the cell vectors:
Hf: 0.000 0.000 0.000
In: 0.500 0.500 0.000
W: 0.500 0.500 0.500
O: 0.000 0.500 0.500
O: 0.500 0.000 0.500

Properties
- volume (Å³/cell) = 95
- energy (eV/cell) = -31.8
- size of the total moment (μB/cell) = 1.24